9
Lattice="-1.449 5.693 5.365 4.444 -6.294 1.980 3.276 1.943 -1.177" Properties=species:S:1:pos:R:3 comment="SrPAu, relaxed, DFT PBE" final_energy_ev_per_cell=-34.2 sg="P-62m, No. 189" pbc="T T T"
Sr 3.796 0.539 4.702
Sr 2.881 -0.789 -0.035
Sr 1.233 2.564 0.912
P 4.118 -1.327 2.520
P 2.154 2.669 3.648
P 0.000 0.000 0.000
Au 2.742 -3.883 1.222
Au -0.894 3.513 3.310
Au 1.147 -0.230 2.813